Entry 1:
# HoSnGe GGA-PBE relaxed
# Total DFT energy (no corrections) (eV/atom): -5.02
# Total moment (μB/cell): 0.0
data_HoSnGe
_cell_length_a 4.0648
_cell_length_b 8.4022
_cell_length_c 8.4022
_cell_angle_alpha 29.48
_cell_angle_beta 90.00
_cell_angle_gamma 90.00
_space_group_name_H-M_alt 'P 1'
_space_group_IT_number 1
loop_
_space_group_symop_operation_xyz
'x,y,z'
loop_
_atom_site_label
_atom_site_type_symbol
_atom_site_fract_x
_atom_site_fract_y
_atom_site_fract_z
_atom_site_occupancy
Ge1 Ge 0.0000 0.0544 0.0544 1
Ge2 Ge 0.5000 0.9460 0.9460 1
Ho1 Ho 0.0000 0.4061 0.4061 1
Ho2 Ho 0.5000 0.5939 0.5939 1
Sn1 Sn 0.5000 0.2456 0.2456 1
Sn2 Sn 0.0000 0.7539 0.7539 1

---

Entry 2:
# HfCu GGA-PBE relaxed
# E_form (eV per atom): 1.084
# Total moment (μB/cell): 0.0
data_HfCu
_cell_length_a 4.0682
_cell_length_b 4.0682
_cell_length_c 4.0682
_cell_angle_alpha 60.00
_cell_angle_beta 60.00
_cell_angle_gamma 60.00
_space_group_name_H-M_alt 'P 1'
_space_group_IT_number 1
loop_
_space_group_symop_operation_xyz
'x,y,z'
loop_
_atom_site_label
_atom_site_type_symbol
_atom_site_fract_x
_atom_site_fract_y
_atom_site_fract_z
_atom_site_occupancy
Cu1 Cu 0.0000 0.0000 0.0000 1
Hf1 Hf 0.2500 0.2500 0.2500 1

---

Entry 3:
# Mg2Zn2SnPb GGA-PBE relaxed
# Total DFT energy (no corrections) (eV/atom): -2.26
data_Mg2Zn2SnPb
_cell_length_a 11.3032
_cell_length_b 4.6242
_cell_length_c 11.3076
_cell_angle_alpha 90.00
_cell_angle_beta 109.36
_cell_angle_gamma 90.00
_space_group_name_H-M_alt 'P 1'
_space_group_IT_number 1
loop_
_space_group_symop_operation_xyz
'x,y,z'
loop_
_atom_site_label
_atom_site_type_symbol
_atom_site_fract_x
_atom_site_fract_y
_atom_site_fract_z
_atom_site_occupancy
Mg1 Mg 0.1193 0.0000 0.1209 1
Mg2 Mg 0.5043 0.5000 0.2544 1
Mg3 Mg 0.8752 0.0000 0.3787 1
Mg4 Mg 0.2493 0.5000 0.4963 1
Mg5 Mg 0.6259 0.0000 0.6260 1
Mg6 Mg 0.9981 0.5000 0.7500 1
Mg7 Mg 0.3789 0.0000 0.8738 1
Mg8 Mg 0.7474 0.5000 0.9995 1
Pb1 Pb 0.6263 0.0000 0.1259 1
Pb2 Pb 0.3751 0.0000 0.3761 1
Pb3 Pb 0.1249 0.0000 0.6239 1
Pb4 Pb 0.2485 0.5000 0.9990 1
Sn1 Sn 0.9995 0.5000 0.2481 1
Sn2 Sn 0.7513 0.5000 0.5018 1
Sn3 Sn 0.5019 0.5000 0.7512 1
Sn4 Sn 0.8738 0.0000 0.8744 1
Zn1 Zn 0.3746 0.0000 0.1255 1
Zn2 Zn 0.7565 0.5000 0.2558 1
Zn3 Zn 0.1191 0.0000 0.3682 1
Zn4 Zn 0.5055 0.5000 0.5065 1
Zn5 Zn 0.8711 0.0000 0.6266 1
Zn6 Zn 0.2547 0.5000 0.7484 1
Zn7 Zn 0.6266 0.0000 0.8712 1
Zn8 Zn 0.9922 0.5000 0.9978 1

---

Entry 4:
# NaNdHgTe3 GGA-PBE relaxed
# Distance to the lowest polymorph of the same formula (meV per atom): 31
# Total moment (μB/cell): 0.0
data_NaNdHgTe3
_cell_length_a 12.9975
_cell_length_b 4.5342
_cell_length_c 13.3979
_cell_angle_alpha 90.00
_cell_angle_beta 90.00
_cell_angle_gamma 90.00
_space_group_name_H-M_alt 'P 1'
_space_group_IT_number 1
loop_
_space_group_symop_operation_xyz
'x,y,z'
loop_
_atom_site_label
_atom_site_type_symbol
_atom_site_fract_x
_atom_site_fract_y
_atom_site_fract_z
_atom_site_occupancy
Hg1 Hg 0.7506 0.0000 0.2018 1
Hg2 Hg 0.2506 0.0000 0.2982 1
Hg3 Hg 0.7494 0.5000 0.7018 1
Hg4 Hg 0.2494 0.5000 0.7982 1
Na1 Na 0.8259 0.5000 0.0120 1
Na2 Na 0.3259 0.5000 0.4880 1
Na3 Na 0.6741 0.0000 0.5120 1
Na4 Na 0.1741 0.0000 0.9880 1
Nd1 Nd 0.4623 0.5000 0.1866 1
Nd2 Nd 0.9623 0.5000 0.3134 1
Nd3 Nd 0.0377 0.0000 0.6866 1
Nd4 Nd 0.5377 0.0000 0.8134 1
Te1 Te 0.5861 0.0000 0.0665 1
Te2 Te 0.9596 0.0000 0.1426 1
Te3 Te 0.2187 0.5000 0.1646 1
Te4 Te 0.7187 0.5000 0.3354 1
Te5 Te 0.4596 0.0000 0.3574 1
Te6 Te 0.0861 0.0000 0.4335 1
Te7 Te 0.9139 0.5000 0.5665 1
Te8 Te 0.5404 0.5000 0.6426 1
Te9 Te 0.2813 0.0000 0.6646 1
Te10 Te 0.7813 0.0000 0.8354 1
Te11 Te 0.0404 0.5000 0.8574 1
Te12 Te 0.4139 0.5000 0.9335 1

---

Entry 5:
# LuTlGeSe3 GGA-PBE relaxed
# Distance to the lowest polymorph of the same formula (meV per atom): 0
# Total moment (μB/cell): 0.0
data_LuTlGeSe3
_cell_length_a 8.5093
_cell_length_b 3.9842
_cell_length_c 10.8921
_cell_angle_alpha 90.00
_cell_angle_beta 107.50
_cell_angle_gamma 90.00
_space_group_name_H-M_alt 'P 1'
_space_group_IT_number 1
loop_
_space_group_symop_operation_xyz
'x,y,z'
loop_
_atom_site_label
_atom_site_type_symbol
_atom_site_fract_x
_atom_site_fract_y
_atom_site_fract_z
_atom_site_occupancy
Ge1 Ge 0.8655 0.2500 0.4401 1
Ge2 Ge 0.1345 0.7500 0.5599 1
Lu1 Lu 0.6370 0.7500 0.1564 1
Lu2 Lu 0.3630 0.2500 0.8436 1
Se1 Se 0.3912 0.2500 0.1061 1
Se2 Se 0.8839 0.2500 0.2146 1
Se3 Se 0.6572 0.7500 0.4206 1
Se4 Se 0.3428 0.2500 0.5794 1
Se5 Se 0.1161 0.7500 0.7854 1
Se6 Se 0.6088 0.7500 0.8939 1
Tl1 Tl 0.2356 0.7500 0.2725 1
Tl2 Tl 0.7644 0.2500 0.7275 1

---

Entry 6:
# Hf3Ni2Sb2 GGA-PBE relaxed
# Total DFT energy (no corrections) (eV/atom): -7.14
# Total moment (μB/cell): 0.0
data_Hf3Ni2Sb2
_cell_length_a 8.2429
_cell_length_b 8.2429
_cell_length_c 8.2429
_cell_angle_alpha 32.66
_cell_angle_beta 32.66
_cell_angle_gamma 32.66
_space_group_name_H-M_alt 'P 1'
_space_group_IT_number 1
loop_
_space_group_symop_operation_xyz
'x,y,z'
loop_
_atom_site_label
_atom_site_type_symbol
_atom_site_fract_x
_atom_site_fract_y
_atom_site_fract_z
_atom_site_occupancy
Hf1 Hf 0.3757 0.3757 0.3757 1
Hf2 Hf 0.6163 0.6163 0.6163 1
Hf3 Hf 0.8714 0.8714 0.8714 1
Ni1 Ni 0.2642 0.2642 0.2642 1
Ni2 Ni 0.7529 0.7529 0.7529 1
Sb1 Sb 0.0020 0.0020 0.0020 1
Sb2 Sb 0.4926 0.4926 0.4926 1

---

Entry 7:
# SmHfNp GGA-PBE relaxed
# Distance to the lowest polymorph of the same formula (meV per atom): 0
# E_form (eV per atom): 1.121
# Total moment (μB/cell): 4.8
data_SmHfNp
_cell_length_a 5.0728
_cell_length_b 5.0728
_cell_length_c 5.0728
_cell_angle_alpha 60.00
_cell_angle_beta 60.00
_cell_angle_gamma 60.00
_space_group_name_H-M_alt 'P 1'
_space_group_IT_number 1
loop_
_space_group_symop_operation_xyz
'x,y,z'
loop_
_atom_site_label
_atom_site_type_symbol
_atom_site_fract_x
_atom_site_fract_y
_atom_site_fract_z
_atom_site_occupancy
Hf1 Hf 0.0000 0.0000 0.0000 1
Np1 Np 0.2500 0.2500 0.2500 1
Sm1 Sm 0.7500 0.7500 0.7500 1

---

Entry 8:
# Cs2Zn2O3 GGA-PBE relaxed
# Total DFT energy (no corrections) (eV/atom): -3.89
data_Cs2Zn2O3
_cell_length_a 6.1283
_cell_length_b 6.4895
_cell_length_c 6.7988
_cell_angle_alpha 90.00
_cell_angle_beta 114.04
_cell_angle_gamma 90.00
_space_group_name_H-M_alt 'P 1'
_space_group_IT_number 1
loop_
_space_group_symop_operation_xyz
'x,y,z'
loop_
_atom_site_label
_atom_site_type_symbol
_atom_site_fract_x
_atom_site_fract_y
_atom_site_fract_z
_atom_site_occupancy
Cs1 Cs 0.8080 0.3771 0.0775 1
Cs2 Cs 0.1920 0.8771 0.4225 1
Cs3 Cs 0.8080 0.1229 0.5775 1
Cs4 Cs 0.1920 0.6229 0.9225 1
O1 O 0.0000 0.0000 0.0000 1
O2 O 0.5941 0.8556 0.1935 1
O3 O 0.4059 0.3556 0.3065 1
O4 O 0.0000 0.5000 0.5000 1
O5 O 0.5941 0.6444 0.6935 1
O6 O 0.4059 0.1444 0.8065 1
Zn1 Zn 0.3303 0.1093 0.0712 1
Zn2 Zn 0.6697 0.6093 0.4288 1
Zn3 Zn 0.3303 0.3907 0.5712 1
Zn4 Zn 0.6697 0.8907 0.9288 1

---

Entry 9:
# DyHo3Er2Bi2Os GGA-PBE relaxed
# Total DFT energy (no corrections) (eV/atom): -5.75
# Total moment (μB/cell): 0.0
data_DyHo3Er2Bi2Os
_cell_length_a 4.2283
_cell_length_b 8.2539
_cell_length_c 8.2539
_cell_angle_alpha 120.00
_cell_angle_beta 90.00
_cell_angle_gamma 90.00
_space_group_name_H-M_alt 'P 1'
_space_group_IT_number 1
loop_
_space_group_symop_operation_xyz
'x,y,z'
loop_
_atom_site_label
_atom_site_type_symbol
_atom_site_fract_x
_atom_site_fract_y
_atom_site_fract_z
_atom_site_occupancy
Bi1 Bi 0.0000 0.6677 0.3335 1
Bi2 Bi 0.0000 0.3335 0.6677 1
Dy1 Dy 0.0000 0.2342 0.2342 1
Er1 Er 0.0000 0.7665 0.0000 1
Er2 Er 0.0000 0.0000 0.7665 1
Ho1 Ho 0.5000 0.9996 0.3860 1
Ho2 Ho 0.5000 0.6147 0.6147 1
Ho3 Ho 0.5000 0.3860 0.9996 1
Os1 Os 0.5000 0.9979 0.9979 1

---

Entry 10:
# K2InHgCl6 GGA-PBE relaxed
# Total DFT energy (no corrections) (eV/atom): -2.89
data_K2InHgCl6
_cell_length_a 7.5529
_cell_length_b 7.5529
_cell_length_c 7.5529
_cell_angle_alpha 60.00
_cell_angle_beta 60.00
_cell_angle_gamma 60.00
_space_group_name_H-M_alt 'P 1'
_space_group_IT_number 1
loop_
_space_group_symop_operation_xyz
'x,y,z'
loop_
_atom_site_label
_atom_site_type_symbol
_atom_site_fract_x
_atom_site_fract_y
_atom_site_fract_z
_atom_site_occupancy
Cl1 Cl 0.2401 0.7599 0.2401 1
Cl2 Cl 0.7599 0.7599 0.2401 1
Cl3 Cl 0.7599 0.2401 0.2401 1
Cl4 Cl 0.7599 0.2401 0.7599 1
Cl5 Cl 0.2401 0.2401 0.7599 1
Cl6 Cl 0.2401 0.7599 0.7599 1
Hg1 Hg 0.5000 0.5000 0.5000 1
In1 In 0.0000 0.0000 0.0000 1
K1 K 0.2500 0.2500 0.2500 1
K2 K 0.7500 0.7500 0.7500 1

---

Entry 11:
# RbLuB GGA-PBE relaxed
# Distance to the lowest polymorph of the same formula (meV per atom): 800
# Total moment (μB/cell): 0.0
data_RbLuB
_cell_length_a 4.7199
_cell_length_b 4.7199
_cell_length_c 4.7199
_cell_angle_alpha 60.00
_cell_angle_beta 60.00
_cell_angle_gamma 60.00
_space_group_name_H-M_alt 'P 1'
_space_group_IT_number 1
loop_
_space_group_symop_operation_xyz
'x,y,z'
loop_
_atom_site_label
_atom_site_type_symbol
_atom_site_fract_x
_atom_site_fract_y
_atom_site_fract_z
_atom_site_occupancy
B1 B 0.2500 0.2500 0.2500 1
Lu1 Lu 0.7500 0.7500 0.7500 1
Rb1 Rb 0.0000 0.0000 0.0000 1

---

Entry 12:
# Li2PtN2 GGA-PBE relaxed
# Total DFT energy (no corrections) (eV/atom): -5.32
# Total moment (μB/cell): 0.0
data_Li2PtN2
_cell_length_a 3.2689
_cell_length_b 3.2689
_cell_length_c 4.9982
_cell_angle_alpha 90.00
_cell_angle_beta 90.00
_cell_angle_gamma 120.00
_space_group_name_H-M_alt 'P 1'
_space_group_IT_number 1
loop_
_space_group_symop_operation_xyz
'x,y,z'
loop_
_atom_site_label
_atom_site_type_symbol
_atom_site_fract_x
_atom_site_fract_y
_atom_site_fract_z
_atom_site_occupancy
Li1 Li 0.6667 0.3333 0.3587 1
Li2 Li 0.3333 0.6667 0.6413 1
N1 N 0.3333 0.6667 0.2118 1
N2 N 0.6667 0.3333 0.7882 1
Pt1 Pt 0.0000 0.0000 0.0000 1

---

Entry 13:
# Ho2Si GGA-PBE relaxed
# Total DFT energy (no corrections) (eV/atom): -3.71
# Total moment (μB/cell): 0.1
data_Ho2Si
_cell_length_a 8.7375
_cell_length_b 8.7375
_cell_length_c 8.7375
_cell_angle_alpha 60.00
_cell_angle_beta 60.00
_cell_angle_gamma 60.00
_space_group_name_H-M_alt 'P 1'
_space_group_IT_number 1
loop_
_space_group_symop_operation_xyz
'x,y,z'
loop_
_atom_site_label
_atom_site_type_symbol
_atom_site_fract_x
_atom_site_fract_y
_atom_site_fract_z
_atom_site_occupancy
Ho1 Ho 0.8750 0.8750 0.3750 1
Ho2 Ho 0.8750 0.3750 0.8750 1
Ho3 Ho 0.8750 0.8750 0.8750 1
Ho4 Ho 0.3750 0.8750 0.8750 1
Si1 Si 0.0000 0.0000 0.0000 1
Si2 Si 0.7500 0.7500 0.7500 1

---

Entry 14:
# LuZnAgPd GGA-PBE relaxed
# Distance to the lowest polymorph of the same formula (meV per atom): 0
# E_form (eV per atom): -0.506
# Total moment (μB/cell): 0.0
data_LuZnAgPd
_cell_length_a 4.6939
_cell_length_b 4.6939
_cell_length_c 4.6939
_cell_angle_alpha 60.00
_cell_angle_beta 60.00
_cell_angle_gamma 60.00
_space_group_name_H-M_alt 'P 1'
_space_group_IT_number 1
loop_
_space_group_symop_operation_xyz
'x,y,z'
loop_
_atom_site_label
_atom_site_type_symbol
_atom_site_fract_x
_atom_site_fract_y
_atom_site_fract_z
_atom_site_occupancy
Ag1 Ag 0.5000 0.5000 0.5000 1
Lu1 Lu 0.7500 0.7500 0.7500 1
Pd1 Pd 0.0000 0.0000 0.0000 1
Zn1 Zn 0.2500 0.2500 0.2500 1

---

Entry 15:
# DyErCu2Si4 GGA-PBE relaxed
# Total DFT energy (no corrections) (eV/atom): -5.35
# Total moment (μB/cell): 0.0
data_DyErCu2Si4
_cell_length_a 3.9717
_cell_length_b 8.6558
_cell_length_c 8.6558
_cell_angle_alpha 26.64
_cell_angle_beta 90.00
_cell_angle_gamma 90.00
_space_group_name_H-M_alt 'P 1'
_space_group_IT_number 1
loop_
_space_group_symop_operation_xyz
'x,y,z'
loop_
_atom_site_label
_atom_site_type_symbol
_atom_site_fract_x
_atom_site_fract_y
_atom_site_fract_z
_atom_site_occupancy
Cu1 Cu 0.5000 0.1715 0.1715 1
Cu2 Cu 0.0000 0.8287 0.8287 1
Dy1 Dy 0.0000 0.6017 0.6017 1
Er1 Er 0.5000 0.3982 0.3982 1
Si1 Si 0.5000 0.0361 0.0361 1
Si2 Si 0.0000 0.2509 0.2509 1
Si3 Si 0.5000 0.7496 0.7496 1
Si4 Si 0.0000 0.9633 0.9633 1

---

Entry 16:
# HfAlTe GGA-PBE relaxed
# Distance to the lowest polymorph of the same formula (meV per atom): 0
# Total moment (μB/cell): 0.1
data_HfAlTe
_cell_length_a 4.7974
_cell_length_b 4.7974
_cell_length_c 4.7974
_cell_angle_alpha 60.00
_cell_angle_beta 60.00
_cell_angle_gamma 60.00
_space_group_name_H-M_alt 'P 1'
_space_group_IT_number 1
loop_
_space_group_symop_operation_xyz
'x,y,z'
loop_
_atom_site_label
_atom_site_type_symbol
_atom_site_fract_x
_atom_site_fract_y
_atom_site_fract_z
_atom_site_occupancy
Al1 Al 0.2500 0.2500 0.2500 1
Hf1 Hf 0.0000 0.0000 0.0000 1
Te1 Te 0.7500 0.7500 0.7500 1

---

Entry 17:
# SnAsAuO GGA-PBE relaxed
# Distance to the lowest polymorph of the same formula (meV per atom): 0
data_SnAsAuO
_cell_length_a 3.9131
_cell_length_b 3.9131
_cell_length_c 9.9933
_cell_angle_alpha 90.00
_cell_angle_beta 90.00
_cell_angle_gamma 90.00
_space_group_name_H-M_alt 'P 1'
_space_group_IT_number 1
loop_
_space_group_symop_operation_xyz
'x,y,z'
loop_
_atom_site_label
_atom_site_type_symbol
_atom_site_fract_x
_atom_site_fract_y
_atom_site_fract_z
_atom_site_occupancy
As1 As 0.0000 0.5000 0.3174 1
As2 As 0.5000 0.0000 0.6826 1
Au1 Au 0.0000 0.0000 0.5000 1
Au2 Au 0.5000 0.5000 0.5000 1
O1 O 0.0000 0.0000 0.0000 1
O2 O 0.5000 0.5000 0.0000 1
Sn1 Sn 0.5000 0.0000 0.1162 1
Sn2 Sn 0.0000 0.5000 0.8838 1

---

Entry 18:
# Ag2Pb2O5 GGA-PBE relaxed
# Distance to the lowest polymorph of the same formula (meV per atom): 16
data_Ag2Pb2O5
_cell_length_a 7.5112
_cell_length_b 4.1363
_cell_length_c 4.1363
_cell_angle_alpha 90.00
_cell_angle_beta 90.00
_cell_angle_gamma 90.00
_space_group_name_H-M_alt 'P 1'
_space_group_IT_number 1
loop_
_space_group_symop_operation_xyz
'x,y,z'
loop_
_atom_site_label
_atom_site_type_symbol
_atom_site_fract_x
_atom_site_fract_y
_atom_site_fract_z
_atom_site_occupancy
Ag1 Ag 0.2102 0.5000 0.5000 1
Ag2 Ag 0.7898 0.5000 0.5000 1
O1 O 0.1893 0.5000 0.0000 1
O2 O 0.8107 0.5000 0.0000 1
O3 O 0.1893 0.0000 0.5000 1
O4 O 0.8107 0.0000 0.5000 1
O5 O 0.5000 0.5000 0.5000 1
Pb1 Pb 0.0000 0.0000 0.0000 1
Pb2 Pb 0.5000 0.0000 0.0000 1

---

Entry 19:
# MgAlAg GGA-PBE relaxed
# Total DFT energy (no corrections) (eV/atom): -2.85
data_MgAlAg
_cell_length_a 6.3682
_cell_length_b 4.1993
_cell_length_c 8.2843
_cell_angle_alpha 90.00
_cell_angle_beta 90.00
_cell_angle_gamma 90.00
_space_group_name_H-M_alt 'P 1'
_space_group_IT_number 1
loop_
_space_group_symop_operation_xyz
'x,y,z'
loop_
_atom_site_label
_atom_site_type_symbol
_atom_site_fract_x
_atom_site_fract_y
_atom_site_fract_z
_atom_site_occupancy
Ag1 Ag 0.7387 0.2500 0.1566 1
Ag2 Ag 0.2387 0.2500 0.3434 1
Ag3 Ag 0.7613 0.7500 0.6566 1
Ag4 Ag 0.2613 0.7500 0.8434 1
Al1 Al 0.3528 0.2500 0.0359 1
Al2 Al 0.8528 0.2500 0.4641 1
Al3 Al 0.1472 0.7500 0.5359 1
Al4 Al 0.6472 0.7500 0.9641 1
Mg1 Mg 0.0448 0.7500 0.1653 1
Mg2 Mg 0.5448 0.7500 0.3347 1
Mg3 Mg 0.4552 0.2500 0.6653 1
Mg4 Mg 0.9552 0.2500 0.8347 1

---

Entry 20:
# NdSm2Ga2Ni4 GGA-PBE relaxed
# Total DFT energy (no corrections) (eV/atom): -5.25
# Total moment (μB/cell): 0.0
data_NdSm2Ga2Ni4
_cell_length_a 5.4371
_cell_length_b 5.4371
_cell_length_c 8.2262
_cell_angle_alpha 98.17
_cell_angle_beta 98.17
_cell_angle_gamma 44.91
_space_group_name_H-M_alt 'P 1'
_space_group_IT_number 1
loop_
_space_group_symop_operation_xyz
'x,y,z'
loop_
_atom_site_label
_atom_site_type_symbol
_atom_site_fract_x
_atom_site_fract_y
_atom_site_fract_z
_atom_site_occupancy
Ga1 Ga 0.3223 0.3223 0.2179 1
Ga2 Ga 0.6777 0.6777 0.7821 1
Nd1 Nd 0.0000 0.0000 0.0000 1
Ni1 Ni 0.7362 0.7362 0.0859 1
Ni2 Ni 0.9167 0.9167 0.3661 1
Ni3 Ni 0.0833 0.0833 0.6339 1
Ni4 Ni 0.2638 0.2638 0.9141 1
Sm1 Sm 0.6247 0.6247 0.3808 1
Sm2 Sm 0.3753 0.3753 0.6192 1